Here is a relaxed structure of Rb2YScI6 from the Alexandria database. Energies are from PBE.

Structure (POSCAR):
```
Rb2YScI6
1.0
-4.2404 4.2404 5.9912
4.2404 -4.2404 5.9912
4.2404 4.2404 -5.9912
Rb Y Sc I
2 1 1 6
direct
0.2500 0.7500 0.5000
0.7500 0.2500 0.5000
0.0000 0.0000 0.0000
0.5000 0.5000 0.0000
0.2536 0.2536 0.0000
0.2536 0.2536 0.5071
0.2536 0.7464 0.0000
0.7464 0.2536 0.0000
0.7464 0.7464 0.0000
0.7464 0.7464 0.4929
```

Computed properties:
space group = I4/mmm (139)
final energy = -35.94 eV per cell
formation energy (no corrections) = -1191 meV per atom
D(E_F) = 5.7 states/eV/f.u.
spin magnetization = 1.919 μB per cell



Here is a relaxed structure of RbYScI6 from the Alexandria database. Energies are from PBE.

Structure (POSCAR):
```
RbYScI6
1.0
7.6701 0.0000 0.0000
-3.8350 6.6425 0.0000
0.0000 0.0000 16.9726
Rb Y Sc I
2 2 2 12
direct
0.0000 0.0000 0.0000
0.0000 0.0000 0.5000
0.3333 0.6667 0.2500
0.6667 0.3333 0.7500
0.3333 0.6667 0.7500
0.6667 0.3333 0.2500
0.0079 0.3661 0.6465
0.0079 0.6418 0.8535
0.3582 0.3661 0.8535
0.3582 0.9921 0.6465
0.3661 0.0079 0.1465
0.3661 0.3582 0.3535
0.6339 0.6418 0.6465
0.6339 0.9921 0.8535
0.6418 0.0079 0.3535
0.6418 0.6339 0.1465
0.9921 0.3582 0.1465
0.9921 0.6339 0.3535
```

Computed properties:
space group = P-31c (163)
final energy = -69.52 eV per cell
formation energy (no corrections) = -1300 meV per atom
D(E_F) = 6.2 states/eV/f.u.
spin magnetization = 2.071 μB per cell



Here is a relaxed structure of Rb2ScZnI6 from the Alexandria database. Energies are from PBE.

Structure (POSCAR):
```
Rb2ScZnI6
1.0
-4.2044 4.2044 5.9231
4.2044 -4.2044 5.9231
4.2044 4.2044 -5.9231
Rb Sc Zn I
2 1 1 6
direct
0.2500 0.7500 0.5000
0.7500 0.2500 0.5000
0.0000 0.0000 0.0000
0.5000 0.5000 0.0000
0.2450 0.2450 0.4901
0.2450 0.7550 0.0000
0.2462 0.2462 0.0000
0.7538 0.7538 0.0000
0.7550 0.2450 0.0000
0.7550 0.7550 0.5099
```

Computed properties:
space group = I4/mmm (139)
final energy = -29.38 eV per cell
formation energy (no corrections) = -1054 meV per atom
D(E_F) = 6.4 states/eV/f.u.
spin magnetization = 0.000 μB per cell



Here is a relaxed structure of Rb2ZrScI6 from the Alexandria database. Energies are from PBE.

Structure (POSCAR):
```
Rb2ZrScI6
1.0
0.0000 5.9221 5.9221
5.9221 0.0000 5.9221
5.9221 5.9221 0.0000
Rb Zr Sc I
2 1 1 6
direct
0.2500 0.2500 0.2500
0.7500 0.7500 0.7500
0.0000 0.0000 0.0000
0.5000 0.5000 0.5000
0.2516 0.2516 0.7484
0.2516 0.7484 0.2516
0.2516 0.7484 0.7484
0.7484 0.2516 0.2516
0.7484 0.2516 0.7484
0.7484 0.7484 0.2516
```

Computed properties:
space group = Fm-3m (225)
final energy = -36.13 eV per cell
formation energy (no corrections) = -1002 meV per atom
D(E_F) = 4.7 states/eV/f.u.
spin magnetization = 3.000 μB per cell



Here is a relaxed structure of Rb5Se2I2 from the Alexandria database. Energies are from PBE.

Structure (POSCAR):
```
Rb5Se2I2
1.0
9.1361 -4.6266 0.0000
9.1361 4.6266 0.0000
0.0000 0.0000 9.2788
Rb Se I
10 4 4
direct
0.0000 0.0000 0.0000
0.0369 0.7143 0.6605
0.2143 0.5369 0.1605
0.2857 0.9631 0.6605
0.4631 0.7857 0.1605
0.5000 0.5000 0.5000
0.5369 0.2143 0.8395
0.7143 0.0369 0.3395
0.7857 0.4631 0.8395
0.9631 0.2857 0.3395
0.1279 0.8721 0.3721
0.3721 0.6279 0.8721
0.6279 0.3721 0.1279
0.8721 0.1279 0.6279
0.2037 0.2037 0.0000
0.2963 0.2963 0.5000
0.7037 0.7037 0.5000
0.7963 0.7963 0.0000
```

Computed properties:
space group = Cmce (64)
final energy = -51.02 eV per cell
formation energy (no corrections) = -1178 meV per atom
spin magnetization = 1.998 μB per cell



Here is a relaxed structure of RbSe2I from the Alexandria database. Energies are from PBE.

Structure (POSCAR):
```
RbSe2I
1.0
0.0000 3.9565 3.9565
3.9565 0.0000 3.9565
3.9565 3.9565 0.0000
Rb Se I
1 2 1
direct
0.0000 0.0000 0.0000
0.2500 0.2500 0.2500
0.7500 0.7500 0.7500
0.5000 0.5000 0.5000
```

Computed properties:
space group = Fm-3m (225)
final energy = -8.79 eV per cell
formation energy (no corrections) = 175 meV per atom
D(E_F) = 5.8 states/eV/f.u.
spin magnetization = 0.000 μB per cell



Here is a relaxed structure of Rb2Se2I from the Alexandria database. Energies are from PBE.

Structure (POSCAR):
```
Rb2Se2I
1.0
9.6649 0.0000 0.0000
0.0000 9.6649 0.0000
0.0000 0.0000 5.0485
Rb Se I
4 4 2
direct
0.1771 0.3229 0.0000
0.3229 0.8229 0.0000
0.6771 0.1771 0.0000
0.8229 0.6771 0.0000
0.0847 0.5847 0.5000
0.4153 0.0847 0.5000
0.5847 0.9153 0.5000
0.9153 0.4153 0.5000
0.0000 0.0000 0.0000
0.5000 0.5000 0.0000
```

Computed properties:
space group = P4/mbm (127)
final energy = -29.24 eV per cell
formation energy (no corrections) = -834 meV per atom
D(E_F) = 7.0 states/eV/f.u.
spin magnetization = 2.000 μB per cell



Here is a relaxed structure of Rb12Se5I3 from the Alexandria database. Energies are from PBE.

Structure (POSCAR):
```
Rb12Se5I3
1.0
-10.4064 10.4064 10.4064
10.4064 -10.4064 10.4064
10.4064 10.4064 -10.4064
Rb Se I
48 20 12
direct
0.0322 0.2073 0.1181
0.0322 0.3248 0.9140
0.0860 0.6181 0.4108
0.0860 0.9678 0.6752
0.0892 0.7073 0.6752
0.0892 0.8819 0.4140
0.1181 0.0322 0.2073
0.1181 0.5860 0.9108
0.1752 0.2073 0.5892
0.1752 0.4678 0.5860
0.2073 0.1181 0.0322
0.2073 0.5892 0.1752
0.2927 0.3248 0.9108
0.2927 0.4678 0.3819
0.3248 0.9108 0.2927
0.3248 0.9140 0.0322
0.3819 0.2927 0.4678
0.3819 0.5892 0.9140
0.4108 0.0860 0.6181
0.4108 0.8248 0.7927
0.4140 0.0892 0.8819
0.4140 0.8248 0.5322
0.4678 0.3819 0.2927
0.4678 0.5860 0.1752
0.5322 0.4140 0.8248
0.5322 0.6181 0.7073
0.5860 0.1752 0.4678
0.5860 0.9108 0.1181
0.5892 0.1752 0.2073
0.5892 0.9140 0.3819
0.6181 0.4108 0.0860
0.6181 0.7073 0.5322
0.6752 0.0860 0.9678
0.6752 0.0892 0.7073
0.7073 0.5322 0.6181
0.7073 0.6752 0.0892
0.7927 0.4108 0.8248
0.7927 0.8819 0.9678
0.8248 0.5322 0.4140
0.8248 0.7927 0.4108
0.8819 0.4140 0.0892
0.8819 0.9678 0.7927
0.9108 0.1181 0.5860
0.9108 0.2927 0.3248
0.9140 0.0322 0.3248
0.9140 0.3819 0.5892
0.9678 0.6752 0.0860
0.9678 0.7927 0.8819
0.0000 0.0000 0.0000
0.0000 0.0000 0.5000
0.0000 0.5000 0.0000
0.0000 0.5000 0.5000
0.1250 0.7500 0.8750
0.1250 0.8750 0.2500
0.2500 0.1250 0.8750
0.2500 0.6250 0.3750
0.3750 0.2500 0.6250
0.3750 0.6250 0.7500
0.5000 0.0000 0.0000
0.5000 0.0000 0.5000
0.5000 0.5000 0.0000
0.5000 0.5000 0.5000
0.6250 0.3750 0.2500
0.6250 0.7500 0.3750
0.7500 0.3750 0.6250
0.7500 0.8750 0.1250
0.8750 0.1250 0.7500
0.8750 0.2500 0.1250
0.1250 0.2500 0.3750
0.1250 0.3750 0.7500
0.2500 0.3750 0.1250
0.2500 0.8750 0.6250
0.3750 0.1250 0.2500
0.3750 0.7500 0.1250
0.6250 0.2500 0.8750
0.6250 0.8750 0.7500
0.7500 0.1250 0.3750
0.7500 0.6250 0.8750
0.8750 0.6250 0.2500
0.8750 0.7500 0.6250
```

Computed properties:
space group = Ia-3d (230)
final energy = -217.24 eV per cell
formation energy (no corrections) = -1031 meV per atom
D(E_F) = 28.4 states/eV/f.u.
spin magnetization = 5.606 μB per cell



Here is a relaxed structure of Rb6SeI4 from the Alexandria database. Energies are from PBE.

Structure (POSCAR):
```
Rb6SeI4
1.0
7.3486 4.2427 6.0261
-7.3486 4.2427 6.0261
0.0000 -8.4854 6.0261
Rb Se I
12 2 8
direct
0.0573 0.9244 0.7036
0.0756 0.2964 0.9427
0.2036 0.4244 0.5573
0.2964 0.9427 0.0756
0.4244 0.5573 0.2036
0.4427 0.7964 0.5756
0.5573 0.2036 0.4244
0.5756 0.4427 0.7964
0.7036 0.0573 0.9244
0.7964 0.5756 0.4427
0.9244 0.7036 0.0573
0.9427 0.0756 0.2964
0.0000 0.0000 0.0000
0.5000 0.5000 0.5000
0.1167 0.7500 0.3833
0.2500 0.2500 0.2500
0.2500 0.6167 0.8833
0.3833 0.1167 0.7500
0.6167 0.8833 0.2500
0.7500 0.3833 0.1167
0.7500 0.7500 0.7500
0.8833 0.2500 0.6167
```

Computed properties:
space group = R-3c (167)
final energy = -60.31 eV per cell
formation energy (no corrections) = -1333 meV per atom
spin magnetization = 0.344 μB per cell



Here is a relaxed structure of Rb2SeI7 from the Alexandria database. Energies are from PBE.

Structure (POSCAR):
```
Rb2SeI7
1.0
-4.2773 4.2773 6.4658
4.2773 -4.2773 6.4658
4.2773 4.2773 -6.4658
Rb Se I
2 1 7
direct
0.2500 0.7500 0.5000
0.7500 0.2500 0.5000
0.0000 0.0000 0.0000
0.2202 0.2202 0.0000
0.2416 0.2416 0.4831
0.2416 0.7584 0.0000
0.5000 0.5000 0.0000
0.7584 0.2416 0.0000
0.7584 0.7584 0.5169
0.7798 0.7798 0.0000
```

Computed properties:
space group = I4/mmm (139)
final energy = -21.85 eV per cell
formation energy (no corrections) = -558 meV per atom
D(E_F) = 2.5 states/eV/f.u.
spin magnetization = 0.000 μB per cell



Here is a relaxed structure of Rb2Se4I5 from the Alexandria database. Energies are from PBE.

Structure (POSCAR):
```
Rb2Se4I5
1.0
6.1539 -4.5990 0.0000
6.1539 4.5990 0.0000
-1.1794 0.0000 11.4634
Rb Se I
2 4 5
direct
0.1358 0.1358 0.3588
0.8642 0.8642 0.6412
0.4108 0.4108 0.7652
0.4505 0.4505 0.3486
0.5495 0.5495 0.6514
0.5892 0.5892 0.2348
0.0699 0.6672 0.3504
0.3328 0.9301 0.6496
0.5000 0.5000 0.0000
0.6672 0.0699 0.3504
0.9301 0.3328 0.6496
```

Computed properties:
space group = C2/m (12)
final energy = -28.59 eV per cell
formation energy (no corrections) = -451 meV per atom
D(E_F) = 3.3 states/eV/f.u.
spin magnetization = 0.000 μB per cell



Here is a relaxed structure of RbSeI2 from the Alexandria database. Energies are from PBE.

Structure (POSCAR):
```
RbSeI2
1.0
-3.3891 3.3891 9.2066
3.3891 -3.3891 9.2066
3.3891 3.3891 -9.2066
Rb Se I
2 2 4
direct
0.0000 0.0000 0.0000
0.7500 0.2500 0.5000
0.2500 0.7500 0.5000
0.5000 0.5000 0.0000
0.2407 0.6250 0.1157
0.3750 0.4907 0.6157
0.5093 0.1250 0.8843
0.8750 0.7593 0.3843
```

Computed properties:
space group = I-42d (122)
final energy = -18.64 eV per cell
formation energy (no corrections) = -442 meV per atom
D(E_F) = 1.0 states/eV/f.u.
spin magnetization = 0.000 μB per cell



What is the formula in the eleventh record? Rb2Se4I5



final energy of number 6 (RbSe2I)? -8.79 eV per cell



Number 2 is which compound? RbYScI6



What is the spin magnetization in the sixth record? 0.000 μB per cell